DFT (PBE-GGA) results for crystalline Pr6P2IrCl3 at its relaxed geometry.

a = 18.6539 Å, b = 4.0984 Å, c = 8.7553 Å
α = 90.00°, β = 103.96°, γ = 90.00°
Space group C2/m (No. 12)
Asymmetric unit:
Pr (0.0065, 0.0000, 0.2254) [4 per cell]
Pr (0.1603, 0.5000, 0.1039) [4 per cell]
Pr (0.1747, 0.5000, 0.5644) [4 per cell]
P (0.1671, 0.0000, 0.3356) [4 per cell]
Ir (0.0000, 0.5000, 0.0000) [2 per cell]
Cl (0.0000, 0.5000, 0.5000) [2 per cell]
Cl (0.1689, 0.0000, 0.8292) [4 per cell]

magnetization: 0.000 Bohr magnetons per cell
crystal system: monoclinic
volume: 649.6 Å³/cell
formation energy from raw total energies: -1.433 eV/atom
calculated density: 6.2 g cm⁻³